(1)
A geometry-optimized CrNi2Rh structure. Source: Alexandria via LeMat-Bulk, functional PBE.

It has space group Cmmm (No. 65), with a = 5.090 Å, b = 7.246 Å, c = 2.631 Å, α = 90.00°, β = 90.00° and γ = 90.00°. Symmetry generates all atoms from Cr at (0.000, 0.000, 0.000), Ni at (0.250, 0.250, 0.500) and Rh at (0.000, 0.500, 0.000).

The value obtained for the density of states at the Fermi level is 11.32 states/eV per cell. The value obtained for the formation energy is 50 meV per atom. Its raw total energy is -7.084 eV per atom.


(2)
A geometry-optimized TcHg2SbAs structure. Source: Alexandria via LeMat-Bulk, functional PBE.

It has space group P4/mmm (No. 123), with a = 5.384 Å, b = 5.384 Å, c = 4.624 Å, α = 90.00°, β = 90.00° and γ = 90.00°. Symmetry generates all atoms from Tc at (0.000, 0.000, 0.000), Hg at (0.000, 0.500, 0.000), Sb at (0.500, 0.500, 0.500) and As at (0.000, 0.000, 0.500).

The value obtained for the density of states at the Fermi level is 3.52 states/eV per cell. Its raw total energy is -3.344 eV per atom. Its uncorrected formation energy is 605 meV/atom.


(3)
A geometry-optimized CaBr2 structure. Source: Alexandria via LeMat-Bulk, functional PBE.

It has space group I4/mmm (No. 139), with a = 3.688 Å, b = 3.688 Å, c = 14.271 Å, α = 90.00°, β = 90.00° and γ = 90.00°. Symmetry generates all atoms from Ca at (0.000, 0.000, 0.000) and Br at (0.000, 0.000, 0.382).

The value obtained for the density of states at the Fermi level is 0.00 states/eV per cell. Its raw total energy is -3.608 eV per atom. Its uncorrected formation energy is -1825 meV/atom.


(4)
A geometry-optimized In3Pb5Cl12 structure. Source: Alexandria via LeMat-Bulk, functional PBE.

It has space group Ia-3d (No. 230), with a = 17.992 Å, b = 17.992 Å, c = 17.992 Å, α = 90.00°, β = 90.00° and γ = 90.00°. Symmetry generates all atoms from In at (0.000, 0.250, 0.125), Pb at (0.000, 0.000, 0.000), Pb at (0.000, 0.250, 0.375) and Cl at (0.029, 0.066, 0.646).

The value obtained for the density of states at the Fermi level is 61.76 states/eV per cell. Its raw total energy is -3.350 eV per atom. Its uncorrected formation energy is -904 meV/atom.


(5)
A geometry-optimized TaHg2Pt structure. Source: Alexandria via LeMat-Bulk, functional PBE.

It has space group Pmmm (No. 47), with a = 2.949 Å, b = 4.273 Å, c = 5.952 Å, α = 90.00°, β = 90.00° and γ = 90.00°. Symmetry generates all atoms from Ta at (0.000, 0.000, 0.000), Hg at (0.500, 0.500, 0.253) and Pt at (0.000, 0.000, 0.500).

The value obtained for the density of states at the Fermi level is 3.09 states/eV per cell. The value obtained for the formation energy is 299 meV per atom. Its raw total energy is -4.326 eV per atom. As for the energy above the lowest structure with this stoichiometry: 333 meV/atom.


(6)
A geometry-optimized TmNpP2Rh5 structure. Source: Alexandria via LeMat-Bulk, functional PBE.

It has space group P4/mmm (No. 123), with a = 4.318 Å, b = 4.318 Å, c = 10.196 Å, α = 90.00°, β = 90.00° and γ = 90.00°. Symmetry generates all atoms from Tm at (0.000, 0.000, 0.000), Np at (0.500, 0.500, 0.500), P at (0.500, 0.500, 0.243), Rh at (0.000, 0.500, 0.193) and Rh at (0.500, 0.500, 0.000).

The value obtained for the density of states at the Fermi level is 16.13 states/eV per cell. The value obtained for the formation energy is -343 meV per atom. Its raw total energy is -7.564 eV per atom.


(7)
A geometry-optimized NbSeBr2O structure. Source: Alexandria via LeMat-Bulk, functional PBE.

It has space group P4/mmm (No. 123), with a = 5.208 Å, b = 5.208 Å, c = 4.960 Å, α = 90.00°, β = 90.00° and γ = 90.00°. Symmetry generates all atoms from Nb at (0.000, 0.000, 0.000), Se at (0.000, 0.000, 0.500), Br at (0.000, 0.500, 0.000) and O at (0.500, 0.500, 0.500).

The value obtained for the density of states at the Fermi level is 7.74 states/eV per cell. Its raw total energy is -4.217 eV per atom. Its uncorrected formation energy is 155 meV/atom. As for the energy above the lowest structure with this stoichiometry: 0 meV/atom.


(8)
A geometry-optimized Pm2YSi6 structure. Source: Alexandria via LeMat-Bulk, functional PBE.

It has space group P6/mmm (No. 191), with a = 7.1384 Å, b = 7.1384 Å, c = 4.0621 Å, α = 90.00°, β = 90.00° and γ = 120.00°. Symmetry generates all atoms from Pm at (0.3333, 0.6667, 0.0000), Y at (0.0000, 0.0000, 0.0000) and Si at (0.0000, 0.3317, 0.5000).

The value obtained for the density of states at the Fermi level is 6.09 states/eV per cell. Its raw total energy is -5.950 eV per atom. Its uncorrected formation energy is -561 meV/atom.


Number 1: magnetization 4.541 μB/cell. Number 2: magnetization 1.180 μB/cell. Number 3: magnetization 0.000 μB/cell. Number 4: magnetization 0.000 μB/cell. Number 5: magnetization 0.000 μB/cell. Number 6: magnetization 5.152 μB/cell. Number 7: magnetization 1.607 μB/cell. Number 8: magnetization 0.000 μB/cell.